[1]
This record from the Alexandria database describes a relaxed structure of Nb2SnP. The functional is PBEsol.

Lattice parameters (Å, degrees): 4.5884 4.5884 4.5884 60.00 60.00 60.00
With the nearest neighbours (Å) after each atom.
Atoms (fractional coordinates):
Nb 0.7500 0.7500 0.7500  4 Sn 2.81, 4 P 2.81
Nb 0.2500 0.2500 0.2500  4 P 2.81, 4 Sn 2.81
P 0.0000 0.0000 0.0000  8 Nb 2.81
Sn 0.5000 0.5000 0.5000  8 Nb 2.81

Energy of formation = -0.139 eV per atom

***

[2]
This record from the Alexandria database describes a relaxed structure of BeGeAsBr2. The functional is PBEsol.

Lattice parameters (Å, degrees): 4.6158 4.6158 4.7862 90.00 90.00 90.00
With the nearest neighbours (Å) after each atom.
Atoms (fractional coordinates):
Br 0.5000 0.0000 0.0000  2 Be 2.31
Br 0.0000 0.5000 0.0000  2 Be 2.31
As 0.0000 0.0000 0.5000  2 Be 2.39
Ge 0.5000 0.5000 0.5000  4 As 3.26, 8 Br 3.32
Be 0.0000 0.0000 0.0000  4 Br 2.31, 2 As 2.39

E_form (uncorrected) = 211.5 meV per atom